Computed, not measured: an optimized crystal structure of RhSe2Br at the GGA-PBE level of DFT.

Its spin magnetization is 0.00 Bohr magnetons per cell. The calculation puts the raw total energy at -54.2 eV for the cell shown. Its volume is 18.797 Å³/atom.

a = 6.6999 Å, b = 6.6999 Å, c = 6.6999 Å
α = 90.00°, β = 90.00°, γ = 90.00°
With the nearest neighbours (Å) after each atom.
Space group Fm-3m (No. 225)
Inequivalent atoms, fractional coordinates:
Rh: 0.0000 0.0000 0.0000 x4  8 Se 2.90
Se: 0.2500 0.2500 0.2500 x8  4 Br 2.90, 4 Rh 2.90
Br: 0.0000 0.0000 0.5000 x4  8 Se 2.90



Computed, not measured: an optimized crystal structure of KHoAuS2 at the GGA-PBE level of DFT.

Its spin magnetization is 0.00 Bohr magnetons per cell. The calculation puts the raw total energy at -46.0 eV for the cell shown. Its volume is 27.347 Å³/atom.

a = 7.2872 Å, b = 4.9852 Å, c = 7.6318 Å
α = 90.00°, β = 99.48°, γ = 90.00°
With the nearest neighbours (Å) after each atom.
Space group P2/c (No. 13)
Inequivalent atoms, fractional coordinates:
K: 0.0000 0.1368 0.2500 x2  6 S 3.27-3.42
Ho: 0.5000 0.4931 0.7500 x2  4 S 2.69-2.70
Au: 0.5000 0.0000 0.0000 x2  2 S 2.47
S: 0.2561 0.3501 0.9640 x4  1 Au 2.47, 2 Ho 2.69-2.70



Computed, not measured: an optimized crystal structure of CeHoPaN3 at the GGA-PBE level of DFT.

Its spin magnetization is 1.10 Bohr magnetons per cell. The calculation puts the raw total energy at -107.1 eV for the cell shown. Its volume is 15.608 Å³/atom.

a = 6.0504 Å, b = 3.4837 Å, c = 9.0858 Å
α = 90.00°, β = 102.04°, γ = 90.00°
With the nearest neighbours (Å) after each atom.
Space group P2_1/m (No. 11)
Inequivalent atoms, fractional coordinates:
Ce: 0.1454 0.2500 0.1882 x2  7 N 2.54-2.74
Ho: 0.2632 0.7500 0.5410 x2  6 N 2.37-2.58
Pa: 0.3668 0.2500 0.8530 x2  4 N 2.24-2.40
N: 0.0489 0.2500 0.6682 x2  1 Pa 2.27, 1 Ho 2.38
N: 0.2347 0.7500 0.9939 x2  3 Pa 2.40-2.52, 3 Ce 2.54-2.62
N: 0.4605 0.7500 0.3419 x2  1 Pa 2.24, 3 Ho 2.37-2.49